The following is a PBE calculation of a relaxed structure of TaTi3Mn, from the Alexandria database.

Unit cell a=4.728 b=4.728 c=4.728 alpha=90.00 beta=90.00 gamma=90.00
Site moments in Bohr magnetons follow the coordinates.
Fractional positions:
Ta (0.000, 0.000, 0.000)  -0.02
Ti (0.000, 0.500, 0.000)  0.02
Ti (0.000, 0.000, 0.500)  0.01
Ti (0.500, 0.000, 0.000)  0.13
Mn (0.500, 0.500, 0.500)  -0.33

Values from the calculation:
Magnetic moment   0.05 μB/f.u.
Energy of formation from the pure elements   1561 meV/atom
Calculated volume   21.13 A^3/atom